No. 1
Crystalline Ga3Hg at its relaxed geometry. Source: Alexandria, functional PBE-GGA.

## Properties
Its energy of formation from the pure elements is 0.057 eV/atom.

abc: 4.8918 10.1325 6.8235
angles: 90.00 90.00 90.00
Last column: nearest neighbours and their distance in Å.
Space group Cmcm (No. 63)
Symmetry-distinct sites (fractional):
Ga  0.0000  0.1295  0.0504 x8  5 Ga 2.68-2.89
Ga  0.0000  0.2998  0.7500 x4  6 Ga 2.68-2.89, 1 Hg 2.83
Hg  0.0000  0.4212  0.2500 x4  1 Ga 2.83



No. 2
Crystalline Ga4Hg at its relaxed geometry. Source: Alexandria, functional PBE-GGA.

## Properties
Its energy of formation from the pure elements is 0.051 eV/atom.

abc: 3.7929 5.0324 6.1004
angles: 109.17 102.11 98.15
Last column: nearest neighbours and their distance in Å.
Space group P-1 (No. 2)
Symmetry-distinct sites (fractional):
Ga  0.0821  0.0734  0.2299 x2  5 Ga 2.57-2.82
Ga  0.2520  0.6820  0.4312 x2  6 Ga 2.70-2.99, 1 Hg 2.89
Hg  0.5000  0.5000  0.0000 x1  6 Ga 2.89-3.23



No. 3
Crystalline GaHg4 at its relaxed geometry. Source: Alexandria, functional PBE-GGA.

## Properties
Its energy of formation from the pure elements is 0.047 eV/atom.

abc: 7.6255 9.6777 7.8092
angles: 90.00 116.88 90.00
Last column: nearest neighbours and their distance in Å.
Space group C2/m (No. 12)
Symmetry-distinct sites (fractional):
Ga  0.0000  0.1497  0.0000 x4  1 Ga 2.90, 6 Hg 2.94-3.15
Hg  0.0683  0.3110  0.7174 x8  2 Ga 2.94-3.05, 2 Hg 3.07-3.23
Hg  0.1785  0.0000  0.4311 x4  9 Hg 3.11-3.46, 2 Ga 3.34
Hg  0.2171  0.5000  0.1351 x4  5 Hg 3.02-3.37, 2 Ga 3.15



No. 4
Crystalline Ga4Hg at its relaxed geometry. Source: Alexandria, functional PBE-GGA.

## Properties
Its energy of formation from the pure elements is 0.516 eV/atom.

abc: 5.1976 5.1976 5.1976
angles: 90.00 90.00 90.00
Last column: nearest neighbours and their distance in Å.
Space group Pm-3m (No. 221)
Symmetry-distinct sites (fractional):
Ga  0.0000  0.0000  0.0000 x1  12 Ga 3.68
Ga  0.0000  0.5000  0.5000 x3  2 Hg 2.60
Hg  0.5000  0.5000  0.5000 x1  6 Ga 2.60



No. 5
Crystalline Ga7Hg at its relaxed geometry. Source: Alexandria, functional PBE-GGA.

## Properties
Its energy of formation from the pure elements is 0.040 eV/atom.

abc: 4.0766 4.0766 19.0375
angles: 90.00 90.00 90.00
Last column: nearest neighbours and their distance in Å.
Space group I4/mmm (No. 139)
Symmetry-distinct sites (fractional):
Ga  0.0000  0.0000  0.0000 x2  4 Hg 2.88, 8 Ga 3.23
Ga  0.0000  0.0000  0.2517 x4  12 Ga 2.88-3.07
Ga  0.0000  0.5000  0.1313 x8  10 Ga 2.88-3.23, 2 Hg 3.23
Hg  0.0000  0.0000  0.5000 x2  12 Ga 2.88-3.23



No. 6
Crystalline Ga2Hg3 at its relaxed geometry. Source: Alexandria, functional PBE-GGA.

## Properties
Its energy of formation from the pure elements is 0.090 eV/atom.

abc: 7.3523 7.3523 16.5706
angles: 90.00 90.00 120.00
Last column: nearest neighbours and their distance in Å.
Space group R-3c (No. 167, hexagonal axes)
Symmetry-distinct sites (fractional):
Ga  0.0000  0.0000  0.1712 x12  1 Ga 2.61, 3 Hg 2.74
Hg  0.0000  0.3733  0.2500 x18  4 Ga 2.74-3.04



No. 7
Crystalline Ga11Hg3 at its relaxed geometry. Source: Alexandria, functional PBE-GGA.

## Properties
Its energy of formation from the pure elements is 0.050 eV/atom.

abc: 4.1930 10.2205 13.5553
angles: 90.00 90.00 90.00
Last column: nearest neighbours and their distance in Å.
Space group Immm (No. 71)
Symmetry-distinct sites (fractional):
Ga  0.0000  0.0000  0.0000 x2  8 Ga 2.74-2.93
Ga  0.0000  0.1303  0.3637 x8  5 Ga 2.66-2.84
Ga  0.0000  0.1936  0.1598 x8  6 Ga 2.78-3.02, 2 Hg 2.98
Ga  0.0000  0.3278  0.5000 x4  8 Ga 2.74-3.02
Hg  0.0000  0.5000  0.0000 x2  8 Ga 3.10
Hg  0.0000  0.5000  0.2835 x4  8 Ga 2.98-3.19



No. 8
Crystalline Ga11Hg at its relaxed geometry. Source: Alexandria, functional PBE-GGA.

## Properties
Its energy of formation from the pure elements is 0.039 eV/atom.

abc: 10.8265 10.8265 8.2445
angles: 90.00 90.00 90.00
Last column: nearest neighbours and their distance in Å.
Space group I4_1/amd (No. 141, origin choice 2)
Symmetry-distinct sites (fractional):
Ga  0.0000  0.0000  0.0000 x8  6 Ga 2.69-2.90
Ga  0.0000  0.2500  0.8750 x4  12 Ga 2.90-3.11
Ga  0.1210  0.0501  0.6564 x32  4 Ga 2.62-2.80
Hg  0.0000  0.2500  0.3750 x4  16 Ga 3.43-3.51